[1]
Here is a geometry-optimized NaAs3S structure from Alexandria. Energies are from PBE.

Lattice parameters (Å, degrees): 4.983 4.983 4.983 90.00 90.00 90.00
Element x y z (fractional)
1 Na 0.000 0.000 0.000
2 As 0.000 0.000 0.500
3 As 0.000 0.500 0.000
4 As 0.500 0.000 0.000
5 S 0.500 0.500 0.500

Values from the calculation:
Total moment   0.0 Bohr magnetons per cell
Space-group type   Pm-3m, No. 221
Relative energy among the computed polymorphs   451 kJ/mol of formula units
Fermi-level density of states   11.7 states/eV per cell



[2]
Here is a geometry-optimized Na2AsS2 structure from Alexandria. Energies are from PBE.

Lattice parameters (Å, degrees): 7.688 7.688 6.781 106.30 106.30 40.80
Element x y z (fractional)
1 Na 0.042 0.042 0.305
2 Na 0.340 0.340 0.106
3 Na 0.660 0.660 0.894
4 Na 0.958 0.958 0.695
5 As 0.260 0.260 0.538
6 As 0.740 0.740 0.462
7 S 0.161 0.161 0.748
8 S 0.411 0.411 0.763
9 S 0.589 0.589 0.237
10 S 0.839 0.839 0.252

Values from the calculation:
Calculated total energy   -3.8535 eV per atom
Total moment   0.0 Bohr magnetons per cell
Space-group type   C2/m, No. 12



[3]
Here is a geometry-optimized Na2AsS structure from Alexandria. Energies are from PBE.

Lattice parameters (Å, degrees): 4.901 4.901 4.901 60.00 60.00 60.00
Element x y z (fractional)
1 Na 0.250 0.250 0.250
2 Na 0.750 0.750 0.750
3 As 0.000 0.000 0.000
4 S 0.500 0.500 0.500

Values from the calculation:
Total moment   0.0 Bohr magnetons per cell
Space-group type   Fm-3m, No. 225
Relative energy among the computed polymorphs   37 kJ/mol of formula units
Fermi-level density of states   2.8 states/eV per cell



[4]
Here is a geometry-optimized Na3AsS4 structure from Alexandria. Energies are from PBE.

Lattice parameters (Å, degrees): 8.193 9.764 9.750 90.00 90.00 90.00
Element x y z (fractional)
1 Na 0.128 0.250 0.044
2 Na 0.134 0.528 0.271
3 Na 0.134 0.972 0.271
4 Na 0.366 0.028 0.771
5 Na 0.366 0.472 0.771
6 Na 0.372 0.750 0.544
7 Na 0.628 0.250 0.456
8 Na 0.634 0.528 0.229
9 Na 0.634 0.972 0.229
10 Na 0.866 0.028 0.729
11 Na 0.866 0.472 0.729
12 Na 0.872 0.750 0.956
13 As 0.179 0.250 0.506
14 As 0.321 0.750 0.006
15 As 0.679 0.250 0.994
16 As 0.821 0.750 0.494
17 S 0.007 0.750 0.656
18 S 0.080 0.250 0.715
19 S 0.162 0.569 0.982
20 S 0.162 0.931 0.982
21 S 0.338 0.069 0.482
22 S 0.338 0.431 0.482
23 S 0.420 0.750 0.215
24 S 0.493 0.250 0.156
25 S 0.507 0.750 0.844
26 S 0.580 0.250 0.785
27 S 0.662 0.569 0.518
28 S 0.662 0.931 0.518
29 S 0.838 0.069 0.018
30 S 0.838 0.431 0.018
31 S 0.920 0.750 0.285
32 S 0.993 0.250 0.344

Values from the calculation:
Calculated total energy   -3.8822 eV per atom
Total moment   0.0 Bohr magnetons per cell
Space-group type   Pnma, No. 62
Fermi-level density of states   0.0 states/eV per cell



[5]
Here is a geometry-optimized Na2SbAsS4 structure from Alexandria. Energies are from PBE.

Lattice parameters (Å, degrees): 7.604 7.604 7.604 132.21 132.21 69.90
Element x y z (fractional)
1 Na 0.000 0.000 0.000
2 Na 0.750 0.250 0.500
3 Sb 0.500 0.500 0.000
4 As 0.250 0.750 0.500
5 S 0.158 0.632 0.051
6 S 0.368 0.419 0.526
7 S 0.581 0.107 0.949
8 S 0.893 0.842 0.474

Values from the calculation:
Calculated total energy   -3.9170 eV per atom
Total moment   0.0 Bohr magnetons per cell
Space-group type   I-4, No. 82



[6]
Here is a geometry-optimized Na3Sc3AsS8 structure from Alexandria. Energies are from PBE.

Lattice parameters (Å, degrees): 7.974 7.974 7.974 55.75 55.75 55.75
Element x y z (fractional)
1 Na 0.000 0.500 0.500
2 Na 0.500 0.000 0.500
3 Na 0.500 0.500 0.000
4 Sc 0.000 0.000 0.500
5 Sc 0.000 0.500 0.000
6 Sc 0.500 0.000 0.000
7 As 0.500 0.500 0.500
8 S 0.238 0.238 0.238
9 S 0.247 0.731 0.731
10 S 0.269 0.269 0.753
11 S 0.269 0.753 0.269
12 S 0.731 0.247 0.731
13 S 0.731 0.731 0.247
14 S 0.753 0.269 0.269
15 S 0.762 0.762 0.762

Values from the calculation:
Calculated total energy   -5.4143 eV per atom
Total moment   0.0 Bohr magnetons per cell
Space-group type   R-3m, No. 166
Fermi-level density of states   2.0 states/eV per cell



[7]
Here is a geometry-optimized NaAsSe2S structure from Alexandria. Energies are from PBE.

Lattice parameters (Å, degrees): 5.016 5.016 4.890 90.00 90.00 90.00
Element x y z (fractional)
1 Na 0.000 0.000 0.000
2 As 0.500 0.500 0.000
3 Se 0.000 0.500 0.500
4 Se 0.500 0.000 0.500
5 S 0.500 0.500 0.500

Values from the calculation:
Total moment   1.2 Bohr magnetons per cell
Space-group type   P4/mmm, No. 123
Relative energy among the computed polymorphs   0 kJ/mol of formula units
Fermi-level density of states   2.0 states/eV per cell



[8]
Here is a geometry-optimized NaAs2SeS structure from Alexandria. Energies are from PBE.

Lattice parameters (Å, degrees): 5.124 5.124 4.855 90.00 90.00 90.00
Element x y z (fractional)
1 Na 0.000 0.000 0.000
2 As 0.000 0.500 0.000
3 As 0.500 0.000 0.000
4 Se 0.000 0.000 0.500
5 S 0.500 0.500 0.500

Values from the calculation:
Total moment   0.8 Bohr magnetons per cell
Space-group type   P4/mmm, No. 123
Relative energy among the computed polymorphs   448 kJ/mol of formula units
Fermi-level density of states   7.1 states/eV per cell



[9]
Here is a geometry-optimized NaAs2SeS structure from Alexandria. Energies are from PBE.

Lattice parameters (Å, degrees): 4.916 4.916 5.021 90.00 90.00 90.00
Element x y z (fractional)
1 Na 0.000 0.000 0.000
2 As 0.000 0.500 0.500
3 As 0.500 0.000 0.500
4 Se 0.500 0.500 0.000
5 S 0.500 0.500 0.500

Values from the calculation:
Total moment   1.0 Bohr magnetons per cell
Space-group type   P4/mmm, No. 123
Relative energy among the computed polymorphs   0 kJ/mol of formula units
Fermi-level density of states   3.6 states/eV per cell



[10]
Here is a geometry-optimized NaAsSe2S structure from Alexandria. Energies are from PBE.

Lattice parameters (Å, degrees): 4.977 4.977 5.350 90.00 90.00 90.00
Element x y z (fractional)
1 Na 0.000 0.000 0.000
2 As 0.000 0.000 0.500
3 Se 0.000 0.500 0.000
4 Se 0.500 0.000 0.000
5 S 0.500 0.500 0.500

Values from the calculation:
Total moment   1.5 Bohr magnetons per cell
Space-group type   P4/mmm, No. 123
Relative energy among the computed polymorphs   471 kJ/mol of formula units
Fermi-level density of states   7.2 states/eV per cell



[11]
Here is a geometry-optimized NaSi2AsS6 structure from Alexandria. Energies are from PBE.

Lattice parameters (Å, degrees): 8.422 8.422 6.853 104.64 104.64 82.21
Element x y z (fractional)
1 Na 0.124 0.876 0.750
2 Na 0.876 0.124 0.250
3 Si 0.197 0.377 0.805
4 Si 0.377 0.197 0.305
5 Si 0.623 0.803 0.695
6 Si 0.803 0.623 0.195
7 As 0.243 0.757 0.250
8 As 0.757 0.243 0.750
9 S 0.015 0.196 0.661
10 S 0.087 0.615 0.881
11 S 0.196 0.015 0.161
12 S 0.309 0.396 0.551
13 S 0.385 0.913 0.619
14 S 0.396 0.309 0.051
15 S 0.604 0.691 0.949
16 S 0.615 0.087 0.381
17 S 0.691 0.604 0.449
18 S 0.804 0.985 0.839
19 S 0.913 0.385 0.119
20 S 0.985 0.804 0.339

Values from the calculation:
Calculated total energy   -4.6649 eV per atom
Total moment   0.0 Bohr magnetons per cell
Space-group type   C2/c, No. 15
Fermi-level density of states   0.0 states/eV per cell



[12]
Here is a geometry-optimized Na3Sm3AsS8 structure from Alexandria. Energies are from PBE.

Lattice parameters (Å, degrees): 8.160 8.160 8.160 58.70 58.70 58.70
Element x y z (fractional)
1 Na 0.000 0.500 0.500
2 Na 0.500 0.000 0.500
3 Na 0.500 0.500 0.000
4 Sm 0.000 0.000 0.500
5 Sm 0.000 0.500 0.000
6 Sm 0.500 0.000 0.000
7 As 0.500 0.500 0.500
8 S 0.244 0.244 0.244
9 S 0.269 0.722 0.722
10 S 0.278 0.278 0.731
11 S 0.278 0.731 0.278
12 S 0.722 0.269 0.722
13 S 0.722 0.722 0.269
14 S 0.731 0.278 0.278
15 S 0.756 0.756 0.756

Values from the calculation:
Calculated total energy   -5.1175 eV per atom
Total moment   0.0 Bohr magnetons per cell
Space-group type   R-3m, No. 166
Fermi-level density of states   1.4 states/eV per cell



[13]
Here is a geometry-optimized Na2SmAsS4 structure from Alexandria. Energies are from PBE.

Lattice parameters (Å, degrees): 6.826 3.941 7.051 90.00 108.86 90.00
Element x y z (fractional)
1 Na 0.000 0.000 0.000
2 Na 0.500 0.500 0.000
3 Sm 0.000 0.500 0.500
4 As 0.500 0.000 0.500
5 S 0.259 0.000 0.727
6 S 0.276 0.500 0.281
7 S 0.724 0.500 0.719
8 S 0.741 0.000 0.273

Values from the calculation:
Calculated total energy   -4.7065 eV per atom
Total moment   0.0 Bohr magnetons per cell
Space-group type   P2/m, No. 10



[14]
Here is a geometry-optimized Na4Sm3AsS8 structure from Alexandria. Energies are from PBE.

Lattice parameters (Å, degrees): 8.130 8.130 8.130 59.12 59.12 59.12
Element x y z (fractional)
1 Na 0.000 0.000 0.000
2 Na 0.000 0.500 0.500
3 Na 0.500 0.000 0.500
4 Na 0.500 0.500 0.000
5 Sm 0.000 0.000 0.500
6 Sm 0.000 0.500 0.000
7 Sm 0.500 0.000 0.000
8 As 0.500 0.500 0.500
9 S 0.244 0.244 0.244
10 S 0.258 0.733 0.733
11 S 0.267 0.267 0.742
12 S 0.267 0.742 0.267
13 S 0.733 0.258 0.733
14 S 0.733 0.733 0.258
15 S 0.742 0.267 0.267
16 S 0.756 0.756 0.756

Values from the calculation:
Calculated total energy   -5.0417 eV per atom
Total moment   0.0 Bohr magnetons per cell
Space-group type   R-3m, No. 166
Fermi-level density of states   0.0 states/eV per cell



[15]
Here is a geometry-optimized Na2SnAsS5 structure from Alexandria. Energies are from PBE.

Lattice parameters (Å, degrees): 9.130 9.130 12.317 90.00 90.00 154.94
Element x y z (fractional)
1 Na 0.108 0.892 0.500
2 Na 0.110 0.890 0.181
3 Na 0.890 0.110 0.681
4 Na 0.892 0.108 0.000
5 Sn 0.227 0.773 0.885
6 Sn 0.773 0.227 0.385
7 As 0.431 0.569 0.272
8 As 0.569 0.431 0.772
9 S 0.050 0.950 0.866
10 S 0.290 0.710 0.516
11 S 0.308 0.692 0.233
12 S 0.358 0.642 0.842
13 S 0.490 0.510 0.119
14 S 0.510 0.490 0.619
15 S 0.642 0.358 0.342
16 S 0.692 0.308 0.733
17 S 0.710 0.290 0.016
18 S 0.950 0.050 0.366

Values from the calculation:
Calculated total energy   -4.0559 eV per atom
Total moment   0.0 Bohr magnetons per cell
Space-group type   Cmc2_1, No. 36
Fermi-level density of states   2.6 states/eV per cell



[16]
Here is a geometry-optimized NaSrAsS4 structure from Alexandria. Energies are from PBE.

Lattice parameters (Å, degrees): 7.965 7.965 7.965 122.18 115.66 91.97
Element x y z (fractional)
1 Na 0.500 0.000 0.000
2 Na 0.500 0.500 0.500
3 Sr 0.000 0.000 0.000
4 Sr 0.500 0.000 0.500
5 As 0.126 0.376 0.750
6 As 0.874 0.624 0.250
7 S 0.197 0.729 0.468
8 S 0.240 0.271 0.968
9 S 0.248 0.266 0.518
10 S 0.248 0.730 0.982
11 S 0.752 0.270 0.018
12 S 0.752 0.734 0.482
13 S 0.760 0.729 0.032
14 S 0.803 0.271 0.532

Values from the calculation:
Calculated total energy   -4.1877 eV per atom
Total moment   0.0 Bohr magnetons per cell
Space-group type   Imma, No. 74
Fermi-level density of states   1.9 states/eV per cell



[17]
Here is a geometry-optimized NaSr2As2S6 structure from Alexandria. Energies are from PBE.

Lattice parameters (Å, degrees): 6.800 6.800 7.946 112.57 112.57 59.68
Element x y z (fractional)
1 Na 0.000 0.000 0.000
2 Sr 0.182 0.182 0.711
3 Sr 0.818 0.818 0.289
4 As 0.467 0.467 0.169
5 As 0.533 0.533 0.831
6 S 0.163 0.702 0.680
7 S 0.272 0.272 0.143
8 S 0.298 0.837 0.320
9 S 0.702 0.163 0.680
10 S 0.728 0.728 0.857
11 S 0.837 0.298 0.320

Values from the calculation:
Calculated total energy   -4.3920 eV per atom
Total moment   0.0 Bohr magnetons per cell
Space-group type   C2/m, No. 12
Fermi-level density of states   3.3 states/eV per cell



[18]
Here is a geometry-optimized Na2SrAsS structure from Alexandria. Energies are from PBE.

Lattice parameters (Å, degrees): 5.237 5.237 6.022 90.00 90.00 90.00
Element x y z (fractional)
1 Na 0.000 0.500 0.000
2 Na 0.500 0.000 0.000
3 Sr 0.000 0.000 0.500
4 As 0.000 0.000 0.000
5 S 0.500 0.500 0.500

Values from the calculation:
Calculated total energy   -3.0994 eV per atom
Total moment   1.0 Bohr magnetons per cell
Space-group type   P4/mmm, No. 123
Fermi-level density of states   3.7 states/eV per cell



[19]
Here is a geometry-optimized Na2TbAsS4 structure from Alexandria. Energies are from PBE.

Lattice parameters (Å, degrees): 6.763 3.902 7.034 90.00 108.69 90.00
Element x y z (fractional)
1 Na 0.000 0.000 0.000
2 Na 0.500 0.500 0.000
3 Tb 0.000 0.500 0.500
4 As 0.500 0.000 0.500
5 S 0.254 0.000 0.724
6 S 0.272 0.500 0.282
7 S 0.728 0.500 0.718
8 S 0.746 0.000 0.276

Values from the calculation:
Calculated total energy   -4.7193 eV per atom
Total moment   0.0 Bohr magnetons per cell
Space-group type   P2/m, No. 10
Fermi-level density of states   0.0 states/eV per cell



[20]
Here is a geometry-optimized Na4Tb3AsS8 structure from Alexandria. Energies are from PBE.

Lattice parameters (Å, degrees): 8.084 8.084 8.084 58.59 58.59 58.59
Element x y z (fractional)
1 Na 0.000 0.000 0.000
2 Na 0.000 0.500 0.500
3 Na 0.500 0.000 0.500
4 Na 0.500 0.500 0.000
5 Tb 0.000 0.000 0.500
6 Tb 0.000 0.500 0.000
7 Tb 0.500 0.000 0.000
8 As 0.500 0.500 0.500
9 S 0.243 0.243 0.243
10 S 0.254 0.734 0.734
11 S 0.266 0.266 0.746
12 S 0.266 0.746 0.266
13 S 0.734 0.254 0.734
14 S 0.734 0.734 0.254
15 S 0.746 0.266 0.266
16 S 0.757 0.757 0.757

Values from the calculation:
Calculated total energy   -5.0542 eV per atom
Total moment   0.0 Bohr magnetons per cell
Space-group type   R-3m, No. 166
Fermi-level density of states   0.0 states/eV per cell